# Tl2SeS PBE relaxed
data_Tl2SeS
_chemical_formula_sum 'Tl8 Se4 S4'
_symmetry_space_group_name_H-M 'F m -3 m'
_symmetry_Int_Tables_number 225
_symmetry_space_group_name_Hall '-F 4 2 3'
_cell_length_a 7.353
_cell_length_b 7.353
_cell_length_c 7.353
_cell_angle_alpha 90.00
_cell_angle_beta 90.00
_cell_angle_gamma 90.00
loop_
_atom_site_label
_atom_site_fract_x
_atom_site_fract_y
_atom_site_fract_z
Tl1 0.250 0.250 0.250
Se1 0.000 0.000 0.000
S1 0.000 0.000 0.500
# offset from the most stable computed form	232.8	meV per atom
# crystal system	cubic
# E	-3.091	eV per atom
# energy relative to the elements, uncorrected	-5	meV per atom